Record 1
Entry from OQMD via LeMat-Bulk: a relaxed ZnGaAsO crystal (PBE-GGA).

abc: 3.7191 3.7191 8.9249
angles: 90.00 90.00 90.00
Element x y z (fractional)
Zn: 0.2500 0.7500 0.0000
Zn: 0.7500 0.2500 0.0000
Ga: 0.2500 0.2500 0.4000
Ga: 0.7500 0.7500 0.6000
As: 0.2500 0.2500 0.8047
As: 0.7500 0.7500 0.1953
O: 0.2500 0.7500 0.5000
O: 0.7500 0.2500 0.5000

## Properties
* volume: 123.4 Å³/cell
* E_tot: -3.984 eV/atom
* E above lowest polymorph: 1.06 eV/f.u.

***

Record 2
Entry from OQMD via LeMat-Bulk: a relaxed GaAsPd5 crystal (PBE-GGA).

abc: 4.0019 4.0019 6.9536
angles: 90.00 90.00 90.00
Element x y z (fractional)
Ga: 0.0000 0.0000 0.0000
As: 0.5000 0.5000 0.5000
Pd: 0.0000 0.5000 0.2796
Pd: 0.0000 0.5000 0.7204
Pd: 0.5000 0.0000 0.2796
Pd: 0.5000 0.0000 0.7204
Pd: 0.5000 0.5000 0.0000

## Properties
* volume: 111.4 Å³/cell
* E_tot: -5.293 eV/atom